[1]
DFT (PBE) results for an optimized crystal structure of Tb6Pr3DyY2.

Summary:
SG = No. 12
ΔH_f (0 K) = 18 meV/atom
Size of the total moment = 0.00 Bohr magnetons per cell

Cell: 6.243 6.243 11.922 Å, 95.00 95.00 119.99°
Sites, in units of the cell vectors:
Tb (0.918, 0.585, 0.754)
Tb (0.750, 0.750, 0.246)
Tb (0.082, 0.415, 0.246)
Tb (0.585, 0.918, 0.754)
Tb (0.250, 0.250, 0.754)
Tb (0.415, 0.082, 0.246)
Pr (0.167, 0.833, 0.500)
Pr (0.833, 0.167, 0.500)
Pr (0.500, 0.500, 0.500)
Dy (0.000, 0.000, 0.000)
Y (0.333, 0.667, 0.000)
Y (0.667, 0.333, 0.000)

***

[2]
DFT (PBE) results for an optimized crystal structure of Cs2GaPbBr5.

Summary:
SG = No. 36
Formation energy (no corrections) = -10.97 eV/f.u.
Size of the total moment = 0.00 Bohr magnetons per cell

Cell: 4.774 10.431 15.660 Å, 90.00 90.00 103.23°
Sites, in units of the cell vectors:
Cs (0.863, 0.727, 0.801)
Cs (0.096, 0.192, 0.667)
Cs (0.137, 0.273, 0.301)
Cs (0.904, 0.808, 0.167)
Ga (0.533, 0.066, 0.956)
Ga (0.467, 0.934, 0.456)
Pb (0.785, 0.570, 0.520)
Pb (0.215, 0.430, 0.020)
Br (0.364, 0.727, 0.990)
Br (0.687, 0.374, 0.895)
Br (0.498, 0.995, 0.778)
Br (0.273, 0.545, 0.649)
Br (0.929, 0.857, 0.567)
Br (0.636, 0.273, 0.490)
Br (0.313, 0.626, 0.395)
Br (0.502, 0.005, 0.278)
Br (0.727, 0.455, 0.149)
Br (0.071, 0.143, 0.067)

***

What did the second record say?
DFT (PBE) results for an optimized crystal structure of Cs2GaPbBr5.

Summary:
SG = No. 36
Formation energy (no corrections) = -10.97 eV/f.u.
Size of the total moment = 0.00 Bohr magnetons per cell

Cell: 4.774 10.431 15.660 Å, 90.00 90.00 103.23°
Sites, in units of the cell vectors:
Cs (0.863, 0.727, 0.801)
Cs (0.096, 0.192, 0.667)
Cs (0.137, 0.273, 0.301)
Cs (0.904, 0.808, 0.167)
Ga (0.533, 0.066, 0.956)
Ga (0.467, 0.934, 0.456)
Pb (0.785, 0.570, 0.520)
Pb (0.215, 0.430, 0.020)
Br (0.364, 0.727, 0.990)
Br (0.687, 0.374, 0.895)
Br (0.498, 0.995, 0.778)
Br (0.273, 0.545, 0.649)
Br (0.929, 0.857, 0.567)
Br (0.636, 0.273, 0.490)
Br (0.313, 0.626, 0.395)
Br (0.502, 0.005, 0.278)
Br (0.727, 0.455, 0.149)
Br (0.071, 0.143, 0.067)